Entry 1:
The following is a PBE calculation of a relaxed structure of ZnFe2Ag, from the Alexandria database.

Structure (extended XYZ):
```
8
Lattice="-3.478 3.478 2.534 3.478 -3.478 2.534 3.478 3.478 -2.534" Properties=species:S:1:pos:R:3 pbc="T T T"
Zn 0.000 0.000 0.000
Zn 0.000 3.478 1.267
Fe 5.217 1.645 -0.634
Fe 1.645 1.739 0.634
Fe -1.739 1.833 1.901
Fe 1.833 1.739 3.168
Ag 3.478 0.000 1.267
Ag 0.000 0.000 2.534
```

Properties
formation energy from the elements = 0.602 eV per atom
DOS at the Fermi energy = 0.797 states/eV per atom
total DFT energy (no corrections) = -4.660 eV/atom
total magnetic moment = 1.32 μB/atom


Entry 2:
The following is a PBE calculation of a relaxed structure of Cs4PrU3Se8, from the Alexandria database.

Structure (extended XYZ):
```
16
Lattice="4.316 2.492 8.438 -4.316 2.492 8.438 0.000 -4.983 8.438" Properties=species:S:1:pos:R:3 pbc="T T T"
Cs 0.000 0.000 0.000
Cs -2.158 -1.246 8.438
Cs -2.158 1.246 16.876
Cs 0.000 2.492 8.438
Pr 0.000 0.000 12.657
U -4.316 0.000 12.657
U -2.158 1.246 4.219
U 2.158 1.246 4.219
Se -2.209 -1.276 14.257
Se 0.000 0.000 5.787
Se 0.000 -2.551 11.057
Se -2.209 1.276 11.057
Se 2.209 -1.276 14.257
Se 0.000 2.551 14.257
Se 0.000 0.000 19.526
Se 2.209 1.276 11.057
```

Properties
E_form (uncorrected) = -1.324 eV/atom
DOS at the Fermi energy = 1.222 states/eV per atom
total DFT energy (no corrections) = -5.695 eV/atom
total magnetic moment = 0.56 μB/atom


Entry 3:
The following is a PBE calculation of a relaxed structure of Tb2TiGe4Ir3, from the Alexandria database.

Structure (extended XYZ):
```
10
Lattice="4.121 0.000 0.000 0.000 4.121 0.000 0.000 0.000 10.899" Properties=species:S:1:pos:R:3 pbc="T T T"
Tb 0.000 2.060 2.713
Tb 2.060 0.000 8.186
Ti 0.000 0.000 5.450
Ge 0.000 0.000 0.000
Ge 0.000 2.060 7.030
Ge 2.060 0.000 3.869
Ge 2.060 2.060 0.000
Ir 0.000 2.060 9.496
Ir 2.060 0.000 1.404
Ir 2.060 2.060 5.450
```

Properties
formation energy from the elements = -0.737 eV per atom
DOS at the Fermi energy = 0.613 states/eV per atom
total DFT energy (no corrections) = -6.957 eV/atom
total magnetic moment = 0.00 μB/atom


Entry 4:
The following is a PBE calculation of a relaxed structure of Na4Tl16Cd3, from the Alexandria database.

Structure (extended XYZ):
```
23
Lattice="7.464 0.000 0.000 0.000 7.464 0.000 0.000 0.000 12.714" Properties=species:S:1:pos:R:3 pbc="T T T"
Na 0.000 3.732 2.304
Na 0.000 3.732 10.410
Na 3.732 0.000 2.304
Na 3.732 0.000 10.410
Tl 0.000 0.000 2.469
Tl 0.000 0.000 10.245
Tl 1.630 1.630 0.000
Tl 1.630 5.834 0.000
Tl 1.787 1.787 4.662
Tl 1.787 1.787 8.053
Tl 1.787 5.677 4.662
Tl 1.787 5.677 8.053
Tl 3.732 3.732 2.924
Tl 3.732 3.732 9.790
Tl 5.677 1.787 4.662
Tl 5.677 1.787 8.053
Tl 5.677 5.677 4.662
Tl 5.677 5.677 8.053
Tl 5.834 1.630 0.000
Tl 5.834 5.834 0.000
Cd 0.000 3.732 6.357
Cd 3.732 0.000 6.357
Cd 3.732 3.732 0.000
```

Properties
formation energy from the elements = -0.008 eV per atom
DOS at the Fermi energy = 0.436 states/eV per atom
total DFT energy (no corrections) = -2.003 eV/atom
total magnetic moment = 0.00 μB/atom


Entry 5:
The following is a PBE calculation of a relaxed structure of Nd2YHo3, from the Alexandria database.

Structure (extended XYZ):
```
12
Lattice="11.678 -1.754 0.000 11.678 1.754 0.000 -3.243 0.000 9.742" Properties=species:S:1:pos:R:3 pbc="T T T"
Nd 1.147 0.000 1.327
Nd 5.179 0.000 6.129
Nd 14.934 0.000 3.613
Nd 18.967 0.000 8.416
Y 4.152 0.000 9.387
Y 15.962 0.000 0.355
Ho -0.845 0.000 7.439
Ho 6.213 0.000 2.776
Ho 8.510 0.000 5.404
Ho 11.604 0.000 4.338
Ho 13.901 0.000 6.967
Ho 20.959 0.000 2.303
```

Properties
formation energy from the elements = 0.121 eV per atom
DOS at the Fermi energy = 1.560 states/eV per atom
E above lowest polymorph = 0.0278 eV/atom
total DFT energy (no corrections) = -4.834 eV/atom
total magnetic moment = 0.00 μB/atom


Entry 6:
The following is a PBE calculation of a relaxed structure of MnCo5N4, from the Alexandria database.

Structure (extended XYZ):
```
20
Lattice="5.916 0.000 0.000 0.000 6.816 0.000 0.000 0.000 4.529" Properties=species:S:1:pos:R:3 pbc="T T T"
Mn 1.479 1.704 0.826
Mn 4.437 5.112 3.703
Co 0.157 3.846 1.116
Co 0.157 6.377 1.116
Co 1.479 5.112 3.333
Co 2.801 3.846 1.116
Co 2.801 6.377 1.116
Co 3.116 0.438 3.413
Co 3.116 2.969 3.413
Co 4.437 1.704 1.196
Co 5.759 0.438 3.413
Co 5.759 2.969 3.413
N 0.165 1.704 2.123
N 1.479 0.102 4.324
N 1.479 3.305 4.324
N 2.793 1.704 2.123
N 3.123 5.112 2.407
N 4.437 3.510 0.205
N 4.437 6.713 0.205
N 5.751 5.112 2.407
```

Properties
E_form (uncorrected) = 0.076 eV/atom
DOS at the Fermi energy = 0.742 states/eV per atom
total DFT energy (no corrections) = -7.724 eV/atom
total magnetic moment = 0.00 μB/atom


Entry 7:
The following is a PBE calculation of a relaxed structure of PmSbP2, from the Alexandria database.

Structure (extended XYZ):
```
4
Lattice="3.890 0.000 0.000 0.000 3.890 0.000 0.000 0.000 6.249" Properties=species:S:1:pos:R:3 pbc="T T T"
Pm 0.000 0.000 0.000
Sb 0.000 0.000 3.125
P 1.945 1.945 1.139
P 1.945 1.945 5.110
```

Properties
E_form (uncorrected) = -0.376 eV/atom
DOS at the Fermi energy = 0.793 states/eV per atom
E above lowest polymorph = 0.0674 eV/atom
total DFT energy (no corrections) = -5.299 eV/atom
total magnetic moment = 0.00 μB/atom


Entry 8:
The following is a PBE calculation of a relaxed structure of Bi4Pb5, from the Alexandria database.

Structure (extended XYZ):
```
9
Lattice="4.633 -3.026 0.000 4.633 3.026 0.000 -1.920 0.000 10.288" Properties=species:S:1:pos:R:3 pbc="T T T"
Bi -0.325 0.000 1.750
Bi 7.671 0.000 8.538
Bi 1.727 0.000 7.454
Bi 5.619 0.000 2.835
Pb -0.960 0.000 5.144
Pb 2.955 0.000 0.578
Pb 2.331 0.000 4.024
Pb 5.016 0.000 6.264
Pb 4.391 0.000 9.711
```

Properties
formation energy from the elements = 0.055 eV per atom
DOS at the Fermi energy = 0.544 states/eV per atom
E above lowest polymorph = 0.0050 eV/atom
total DFT energy (no corrections) = -3.730 eV/atom
total magnetic moment = 0.00 μB/atom


Entry 9:
The following is a PBE calculation of a relaxed structure of Ta2CrP, from the Alexandria database.

Structure (extended XYZ):
```
4
Lattice="3.252 0.000 0.000 0.000 3.252 0.000 0.000 0.000 5.682" Properties=species:S:1:pos:R:3 pbc="T T T"
Ta 0.000 0.000 1.386
Ta 0.000 0.000 4.296
Cr 1.626 1.626 2.841
P 1.626 1.626 0.000
```

Properties
formation energy from the elements = -0.190 eV per atom
DOS at the Fermi energy = 0.874 states/eV per atom
total DFT energy (no corrections) = -9.874 eV/atom
total magnetic moment = 0.13 μB/atom


Entry 10:
The following is a PBE calculation of a relaxed structure of Ba3As2, from the Alexandria database.

Structure (extended XYZ):
```
5
Lattice="2.472 1.427 10.575 -2.472 1.427 10.575 0.000 -2.855 10.575" Properties=species:S:1:pos:R:3 pbc="T T T"
Ba 0.000 0.000 0.000
Ba 0.000 0.000 7.160
Ba 0.000 0.000 24.566
As 0.000 0.000 12.633
As 0.000 0.000 19.094
```

Properties
formation energy from the elements = -0.951 eV per atom
DOS at the Fermi energy = 0.313 states/eV per atom
E above lowest polymorph = 0.0996 eV/atom
total DFT energy (no corrections) = -3.965 eV/atom
total magnetic moment = 0.00 μB/atom


Entry 11:
The following is a PBE calculation of a relaxed structure of IrAuOF2, from the Alexandria database.

Structure (extended XYZ):
```
5
Lattice="4.412 0.000 0.000 0.000 4.412 0.000 0.000 0.000 3.718" Properties=species:S:1:pos:R:3 pbc="T T T"
Ir 0.000 0.000 0.000
Au 2.206 2.206 1.859
O 0.000 0.000 1.859
F 0.000 2.206 0.000
F 2.206 0.000 0.000
```

Properties
E_form (uncorrected) = -0.322 eV/atom
DOS at the Fermi energy = 0.516 states/eV per atom
E above lowest polymorph = 0.0000 eV/atom
total DFT energy (no corrections) = -4.490 eV/atom
total magnetic moment = 0.00 μB/atom


Entry 12:
The following is a PBE calculation of a relaxed structure of Pm3ScP4, from the Alexandria database.

Structure (extended XYZ):
```
16
Lattice="7.001 0.000 0.000 0.000 8.103 0.000 -2.342 0.000 6.607" Properties=species:S:1:pos:R:3 pbc="T T T"
Pm -0.586 1.001 1.652
Pm -1.757 3.016 4.955
Pm -0.586 5.087 1.652
Pm -1.757 7.102 4.955
Pm 2.915 3.019 1.652
Pm 1.744 5.084 4.955
Sc 1.744 0.998 4.955
Sc 2.915 7.105 1.652
P 0.609 2.977 3.355
P 1.780 5.126 0.052
P -0.483 0.945 6.604
P 0.688 7.158 3.300
P 3.972 0.945 3.307
P 5.143 7.158 0.003
P 2.880 2.977 6.555
P 4.051 5.126 3.252
```

Properties
formation energy from the elements = -1.504 eV per atom
DOS at the Fermi energy = 0.090 states/eV per atom
total DFT energy (no corrections) = -6.782 eV/atom
total magnetic moment = 0.00 μB/atom


Entry 13:
The following is a PBE calculation of a relaxed structure of Sn6As2Se3I, from the Alexandria database.

Structure (extended XYZ):
```
12
Lattice="9.383 -2.137 0.000 9.383 2.137 0.000 -1.593 0.000 8.533" Properties=species:S:1:pos:R:3 pbc="T T T"
Sn -0.230 0.000 2.409
Sn 4.530 0.000 7.544
Sn 5.444 0.000 3.519
Sn 11.729 0.000 5.014
Sn 12.643 0.000 0.990
Sn 17.404 0.000 6.124
As 2.607 0.000 2.862
As 14.567 0.000 5.671
Se 1.771 0.000 7.063
Se 8.587 0.000 4.267
Se 15.402 0.000 1.470
I 9.383 0.000 0.000
```

Properties
E_form (uncorrected) = -0.244 eV/atom
DOS at the Fermi energy = 0.450 states/eV per atom
total DFT energy (no corrections) = -4.021 eV/atom
total magnetic moment = 0.00 μB/atom


Entry 14:
The following is a PBE calculation of a relaxed structure of Y2AsS, from the Alexandria database.

Structure (extended XYZ):
```
4
Lattice="1.981 1.144 6.962 -1.981 1.144 6.962 0.000 -2.288 6.962" Properties=species:S:1:pos:R:3 pbc="T T T"
Y 0.000 0.000 0.000
Y 0.000 0.000 3.638
As 0.000 0.000 12.289
S 0.000 0.000 8.745
```

Properties
E_form (uncorrected) = -1.691 eV/atom
DOS at the Fermi energy = 0.689 states/eV per atom
E above lowest polymorph = 0.1155 eV/atom
total DFT energy (no corrections) = -7.118 eV/atom
total magnetic moment = 0.00 μB/atom


Entry 15:
The following is a PBE calculation of a relaxed structure of CdRhI2N, from the Alexandria database.

Structure (extended XYZ):
```
5
Lattice="5.724 0.000 0.000 0.000 5.724 0.000 0.000 0.000 3.734" Properties=species:S:1:pos:R:3 pbc="T T T"
Cd 0.000 0.000 0.000
Rh 2.862 2.862 1.867
I 0.000 2.862 1.867
I 2.862 0.000 1.867
N 2.862 2.862 0.000
```

Properties
E_form (uncorrected) = 0.314 eV/atom
DOS at the Fermi energy = 0.552 states/eV per atom
E above lowest polymorph = 0.0000 eV/atom
total DFT energy (no corrections) = -3.624 eV/atom
total magnetic moment = 0.00 μB/atom


Entry 16:
The following is a PBE calculation of a relaxed structure of CaCe2TmAs4, from the Alexandria database.

Structure (extended XYZ):
```
8
Lattice="7.181 0.000 0.000 0.000 4.202 0.000 -2.451 0.000 6.874" Properties=species:S:1:pos:R:3 pbc="T T T"
Ca 0.000 0.000 0.000
Ce 2.365 0.000 3.437
Ce 3.591 2.101 0.000
Tm -1.226 2.101 3.437
As -0.044 0.000 5.106
As 1.195 2.101 1.778
As 3.534 2.101 5.096
As 4.774 0.000 1.767
```

Properties
formation energy from the elements = -1.376 eV per atom
DOS at the Fermi energy = 0.989 states/eV per atom
total DFT energy (no corrections) = -5.994 eV/atom
total magnetic moment = 0.12 μB/atom


Entry 17:
The following is a PBE calculation of a relaxed structure of DyY3Ho2Sb6, from the Alexandria database.

Structure (extended XYZ):
```
12
Lattice="3.796 -6.575 0.000 3.796 6.575 0.000 -2.527 0.000 7.154" Properties=species:S:1:pos:R:3 pbc="T T T"
Dy 0.000 0.000 0.000
Y 2.532 4.385 3.577
Y 2.532 0.000 3.577
Y 2.532 -4.385 3.577
Ho 3.796 2.191 0.000
Ho 3.796 -2.191 0.000
Sb 1.268 2.196 1.779
Sb 0.007 0.000 5.375
Sb 1.268 -2.196 1.779
Sb 3.796 2.196 5.376
Sb 5.058 0.000 1.779
Sb 3.796 -2.196 5.376
```

Properties
E_form (uncorrected) = -1.143 eV/atom
DOS at the Fermi energy = 0.183 states/eV per atom
total DFT energy (no corrections) = -5.966 eV/atom
total magnetic moment = 0.00 μB/atom


Entry 18:
The following is a PBE calculation of a relaxed structure of SnHN2F, from the Alexandria database.

Structure (extended XYZ):
```
5
Lattice="4.217 0.000 0.000 0.000 4.217 0.000 0.000 0.000 4.284" Properties=species:S:1:pos:R:3 pbc="T T T"
Sn 0.000 0.000 0.000
H 2.109 2.109 2.142
N 0.000 2.109 0.000
N 2.109 0.000 0.000
F 0.000 0.000 2.142
```

Properties
DOS at the Fermi energy = 0.172 states/eV per atom
E above lowest polymorph = 0.0952 eV/atom
total DFT energy (no corrections) = -4.109 eV/atom
total magnetic moment = 0.81 μB/atom


Entry 19:
The following is a PBE calculation of a relaxed structure of Ac7BI12, from the Alexandria database.

Structure (extended XYZ):
```
20
Lattice="8.382 4.840 3.725 -8.382 4.840 3.725 0.000 -9.679 3.725" Properties=species:S:1:pos:R:3 pbc="T T T"
Ac 0.000 0.000 0.000
Ac -2.272 -0.616 3.905
Ac 1.669 -1.660 3.905
Ac 0.603 2.276 3.905
Ac -0.603 -2.276 7.270
Ac -1.669 1.660 7.270
Ac 2.272 0.616 7.270
B 0.000 0.000 5.587
I -0.723 -2.743 1.755
I -2.014 1.997 1.755
I -3.284 -3.345 5.552
I -4.539 1.171 5.622
I 2.737 0.745 1.755
I 1.255 -4.516 5.622
I -1.255 4.516 5.552
I -2.737 -0.745 9.420
I 4.539 -1.171 5.552
I 3.284 3.345 5.622
I 2.014 -1.997 9.420
I 0.723 2.743 9.420
```

Properties
E_form (uncorrected) = -1.255 eV/atom
DOS at the Fermi energy = 0.476 states/eV per atom
total DFT energy (no corrections) = -3.957 eV/atom
total magnetic moment = 0.09 μB/atom


Entry 20:
The following is a PBE calculation of a relaxed structure of CaPmLuTl, from the Alexandria database.

Structure (extended XYZ):
```
4
Lattice="0.000 3.937 3.937 3.937 0.000 3.937 3.937 3.937 0.000" Properties=species:S:1:pos:R:3 pbc="T T T"
Ca 0.000 0.000 0.000
Pm 1.968 1.968 1.968
Lu 3.937 3.937 3.937
Tl 5.905 5.905 5.905
```

Properties
formation energy from the elements = 0.050 eV per atom
DOS at the Fermi energy = 1.670 states/eV per atom
total DFT energy (no corrections) = -3.360 eV/atom
total magnetic moment = 0.22 μB/atom